Entry from Alexandria via LeMat-Bulk: a geometry-optimized La3Pm3Sm4 structure (PBE-GGA).

```
La3Pm3Sm4
1.0
-2.214 2.982 -0.736
-4.901 -1.599 8.264
6.184 5.781 4.818
Sm Pm La
4 3 3
Direct
0.000 0.625 0.375
0.000 0.376 0.624
0.000 0.872 0.876
0.000 0.124 0.128
0.500 0.827 0.173
0.500 0.673 0.672
0.500 0.328 0.327
0.500 0.173 0.827
0.000 0.503 0.001
0.000 0.999 0.497
```

DFT total energy (eV per atom): -4.70
Size of the total moment (μB per atom): 0.00
Energy of formation (eV/atom): 0.09


Entry from Alexandria via LeMat-Bulk: a geometry-optimized LaPm3Sm6 structure (PBE-GGA).

```
LaPm3Sm6
1.0
-6.345 0.060 -0.897
0.854 -8.907 -6.631
-1.560 -1.313 10.949
Sm Pm La
12 6 2
Direct
0.552 0.626 0.709
0.643 0.280 0.720
0.368 0.963 0.037
0.868 0.037 0.963
0.143 0.720 0.280
0.877 0.948 0.531
0.377 0.531 0.948
0.552 0.291 0.374
0.877 0.469 0.052
0.377 0.052 0.469
0.052 0.374 0.291
0.052 0.709 0.626
0.087 0.384 0.616
0.963 0.708 0.940
0.963 0.060 0.292
0.463 0.292 0.060
0.587 0.616 0.384
0.463 0.940 0.708
0.605 0.810 0.190
0.105 0.190 0.810
```

DFT total energy (eV per atom): -4.61
Size of the total moment (μB per atom): 0.00
Energy of formation (eV/atom): 0.14


Entry from Alexandria via LeMat-Bulk: a geometry-optimized LaPmSm4 structure (PBE-GGA).

```
LaPmSm4
1.0
-4.356 4.838 1.654
-5.900 -1.601 2.781
-1.158 1.410 6.464
La Sm Pm
1 4 1
Direct
0.000 0.000 0.000
0.625 0.625 0.625
0.625 0.126 0.625
0.126 0.625 0.625
0.625 0.625 0.126
0.250 0.250 0.250
```

DFT total energy (eV per atom): -4.51
Size of the total moment (μB per atom): 0.00
Energy of formation (eV/atom): 0.25


Entry from Alexandria via LeMat-Bulk: a geometry-optimized LaPm3Sm7 structure (PBE-GGA).

```
LaPm3Sm7
1.0
4.830 -0.112 -2.998
-1.035 9.896 -2.029
-1.129 -0.721 8.986
Pm Sm La
3 7 1
Direct
0.721 0.002 0.221
0.279 0.998 0.779
0.000 0.500 0.000
0.144 0.289 0.644
0.856 0.711 0.356
0.921 0.830 0.921
0.079 0.170 0.079
0.325 0.639 0.825
0.675 0.361 0.175
0.500 0.000 0.500
0.500 0.500 0.500
```

DFT total energy (eV per atom): -4.63
Size of the total moment (μB per atom): 0.00
Energy of formation (eV/atom): 0.12